Compound: Pr2PuCuS5
Source: the Alexandria database
Functional: PBE
Structure: optimized geometry

abc: 8.757 8.757 11.656
angles: 90.00 90.00 153.89
Atoms (fractional coordinates):
Pr: 0.108 0.892 0.500
Pr: 0.121 0.879 0.125
Pr: 0.879 0.121 0.625
Pr: 0.892 0.108 0.000
Pu: 0.198 0.802 0.824
Pu: 0.802 0.198 0.324
Cu: 0.443 0.557 0.266
Cu: 0.557 0.443 0.766
S: 0.045 0.955 0.868
S: 0.291 0.709 0.487
S: 0.316 0.684 0.164
S: 0.360 0.640 0.816
S: 0.498 0.502 0.590
S: 0.502 0.498 0.090
S: 0.640 0.360 0.316
S: 0.684 0.316 0.664
S: 0.709 0.291 0.987
S: 0.955 0.045 0.368

Density, Mg/m³: 6.3
Formation energy without anion corrections, eV per atom: -1.6181